First-principles (PBE with a Hubbard U) data for crystalline Al2FeWO at its relaxed geometry, as listed in Alexandria.

## Properties
Density of states at the Fermi level   4.01 states/eV/cell
Crystal system   tetragonal
Theoretical density   3.97 g cm⁻³
Total moment   1.576 μB per atom
SG   P4/mmm, No. 123
VASP energy   -3.350 eV/atom

Cell: 5.0592 5.0592 5.0566 Å, 90.00 90.00 90.00°
Fractional coordinates of all 5 atoms:
1 Al 0.0000 0.5000 0.0000
2 Al 0.5000 0.0000 0.0000
3 Fe 0.0000 0.0000 0.5000
4 W 0.0000 0.0000 0.0000
5 O 0.5000 0.5000 0.5000